Entry 1:
# CsTc5S8

Crystalline CsTc5S8 at its relaxed geometry (PBE-GGA, Alexandria).

Structure (CIF):
```
data_CsTc5S8
_symmetry_space_group_name_H-M 'C 1 m 1'
_symmetry_Int_Tables_number 8
_cell_length_a 19.7460
_cell_length_b 3.1982
_cell_length_c 9.7051
_cell_angle_alpha 90.00
_cell_angle_beta 109.31
_cell_angle_gamma 90.00
loop_
_symmetry_equiv_pos_as_xyz
'x,y,z'
'x,-y,z'
'x+1/2,y+1/2,z'
'x+1/2,-y+1/2,z'
loop_
_atom_site_label
_atom_site_type_symbol
_atom_site_fract_x
_atom_site_fract_y
_atom_site_fract_z
Cs1 Cs 0.0000 0.0000 0.0000
Tc1 Tc 0.0408 0.5000 0.5382
Tc2 Tc 0.1757 0.0000 0.6336
Tc3 Tc 0.2225 0.0000 0.9420
Tc4 Tc 0.2996 0.5000 0.1800
Tc5 Tc 0.4016 0.5000 0.4609
S1 S 0.0981 0.0000 0.7581
S2 S 0.1408 0.5000 0.4434
S3 S 0.1777 0.5000 0.0670
S4 S 0.2632 0.5000 0.7583
S5 S 0.3049 0.0000 0.3858
S6 S 0.3488 0.0000 0.0696
S7 S 0.4438 0.0000 0.6497
S8 S 0.4891 0.5000 0.3565
```

Output
E_form (uncorrected): -49.2 kJ/mol of atoms
final energy: -6.632 eV per atom

Entry 2:
# LuMgAu

Crystalline LuMgAu at its relaxed geometry (PBE-GGA, Alexandria).

Structure (CIF):
```
data_LuMgAu
_symmetry_space_group_name_H-M 'P -6 m 2'
_symmetry_Int_Tables_number 187
_symmetry_space_group_name_Hall 'P -6 2'
_cell_length_a 4.6683
_cell_length_b 4.6683
_cell_length_c 3.5283
_cell_angle_alpha 90.00
_cell_angle_beta 90.00
_cell_angle_gamma 120.00
loop_
_atom_site_label
_atom_site_type_symbol
_atom_site_fract_x
_atom_site_fract_y
_atom_site_fract_z
Lu1 Lu 0.0000 0.0000 0.0000
Mg1 Mg 0.3333 0.6667 0.5000
Au1 Au 0.6667 0.3333 0.5000
```

Output
final energy: -3.622 eV per atom
ΔH_f (0 K): -142 kJ/mol of formula units

Entry 3:
# Mg2CuIr

Crystalline Mg2CuIr at its relaxed geometry (PBE-GGA, Alexandria).

Structure (CIF):
```
data_Mg2CuIr
_symmetry_space_group_name_H-M 'I -4 2 d'
_symmetry_Int_Tables_number 122
_symmetry_space_group_name_Hall 'I -4 2bw'
_cell_length_a 3.8892
_cell_length_b 3.8892
_cell_length_c 17.9121
_cell_angle_alpha 90.00
_cell_angle_beta 90.00
_cell_angle_gamma 90.00
loop_
_atom_site_label
_atom_site_type_symbol
_atom_site_fract_x
_atom_site_fract_y
_atom_site_fract_z
Mg1 Mg 0.2458 0.2500 0.1250
Cu1 Cu 0.0000 0.0000 0.5000
Ir1 Ir 0.0000 0.0000 0.0000
```

Output
final energy: -3.780 eV per atom
ΔH_f (0 K): 99 kJ/mol of formula units

Entry 4:
# CoTc2Pt

Crystalline CoTc2Pt at its relaxed geometry (PBE-GGA, Alexandria).

Structure (CIF):
```
data_CoTc2Pt
_symmetry_space_group_name_H-M 'I 4/m m m'
_symmetry_Int_Tables_number 139
_symmetry_space_group_name_Hall '-I 4 2'
_cell_length_a 3.7254
_cell_length_b 3.7254
_cell_length_c 7.9085
_cell_angle_alpha 90.00
_cell_angle_beta 90.00
_cell_angle_gamma 90.00
loop_
_atom_site_label
_atom_site_type_symbol
_atom_site_fract_x
_atom_site_fract_y
_atom_site_fract_z
Co1 Co 0.0000 0.0000 0.0000
Tc1 Tc 0.0000 0.5000 0.2500
Pt1 Pt 0.0000 0.0000 0.5000
```

Output
final energy: -8.502 eV per atom
ΔH_f (0 K): -13 kJ/mol of formula units
E above lowest polymorph: 16.1 meV per atom

Entry 5:
# LiAc2CoH6

Crystalline LiAc2CoH6 at its relaxed geometry (PBE-GGA, Alexandria).

Structure (CIF):
```
data_LiAc2CoH6
_symmetry_space_group_name_H-M 'I 4/m m m'
_symmetry_Int_Tables_number 139
_symmetry_space_group_name_Hall '-I 4 2'
_cell_length_a 5.1738
_cell_length_b 5.1738
_cell_length_c 8.5511
_cell_angle_alpha 90.00
_cell_angle_beta 90.00
_cell_angle_gamma 90.00
loop_
_atom_site_label
_atom_site_type_symbol
_atom_site_fract_x
_atom_site_fract_y
_atom_site_fract_z
Li1 Li 0.0000 0.0000 0.0000
Ac1 Ac 0.0000 0.5000 0.2500
Co1 Co 0.0000 0.0000 0.5000
H1 H 0.0000 0.0000 0.2182
H2 H 0.2237 0.2237 0.5000
```

Output
final energy: -4.083 eV per atom

Entry 6:
# LiHfCdIn

Crystalline LiHfCdIn at its relaxed geometry (PBE-GGA, Alexandria).

Structure (CIF):
```
data_LiHfCdIn
_symmetry_space_group_name_H-M 'P 4 m m'
_symmetry_Int_Tables_number 99
_cell_length_a 3.1932
_cell_length_b 3.1932
_cell_length_c 7.7595
_cell_angle_alpha 90.00
_cell_angle_beta 90.00
_cell_angle_gamma 90.00
loop_
_symmetry_equiv_pos_as_xyz
'x,y,z'
'-y,x,z'
'-x,-y,z'
'y,-x,z'
'-x,y,z'
'y,x,z'
'x,-y,z'
'-y,-x,z'
loop_
_atom_site_label
_atom_site_type_symbol
_atom_site_fract_x
_atom_site_fract_y
_atom_site_fract_z
Li1 Li 0.0000 0.0000 0.0000
Hf1 Hf 0.0000 0.0000 0.5058
Cd1 Cd 0.5000 0.5000 0.7789
In1 In 0.5000 0.5000 0.2312
```

Output
final energy: -4.058 eV per atom
ΔH_f (0 K): -69 kJ/mol of formula units
E above lowest polymorph: 0.0 meV per atom

final energy of number 1 (CsTc5S8)?
-6.632 eV per atom

What is the final energy in the sixth record?
-4.058 eV per atom

Number 1 is which compound?
CsTc5S8